Arrangement P

{
  "formula": "TePtF2",
  "functional": "GGA-PBE",
  "state": "optimized geometry",
  "volume_a3_per_atom": 18.5,
  "spacegroup": "R-3m, No. 166",
  "crystal_system": "trigonal",
  "dos_ef_per_ev_fu": 4.0,
  "lattice": [[1.5069, 0.8700, 9.3969], [-1.5069, 0.8700, 9.3969], [0.0000, -1.7400, 9.3969]],
  "species": ["Te", "Pt", "F", "F"],
  "frac_coords": [[0.0000, 0.0000, 0.0000], [0.5000, 0.5000, 0.5000], [0.0714, 0.0714, 0.0714], [0.9286, 0.9286, 0.9286]]
}

***

Arrangement Q

{
  "formula": "TePtF2",
  "functional": "GGA-PBE",
  "state": "optimized geometry",
  "volume_a3_per_atom": 16.6,
  "spacegroup": "R-3m, No. 166",
  "crystal_system": "trigonal",
  "dos_ef_per_ev_fu": 2.1,
  "lattice": [[1.5049, 0.8689, 8.4409], [-1.5049, 0.8689, 8.4409], [0.0000, -1.7377, 8.4409]],
  "species": ["Te", "Pt", "F", "F"],
  "frac_coords": [[0.0000, 0.0000, 0.0000], [0.5000, 0.5000, 0.5000], [0.4214, 0.4214, 0.4214], [0.5786, 0.5786, 0.5786]]
}

***

Arrangement R

{
  "formula": "TePtF2",
  "functional": "GGA-PBE",
  "state": "optimized geometry",
  "volume_a3_per_atom": 21.5,
  "spacegroup": "I-42d, No. 122",
  "crystal_system": "tetragonal",
  "dos_ef_per_ev_fu": 1.8,
  "lattice": [[-4.1600, 4.1600, 2.4833], [4.1600, -4.1600, 2.4833], [4.1600, 4.1600, -2.4833]],
  "species": ["Te", "Te", "Pt", "Pt", "F", "F", "F", "F"],
  "frac_coords": [[0.0000, 0.0000, 0.0000], [0.7500, 0.2500, 0.5000], [0.2500, 0.7500, 0.5000], [0.5000, 0.5000, 0.0000], [0.3750, 0.0426, 0.1676], [0.7926, 0.6250, 0.6676], [0.8750, 0.2074, 0.8324], [0.9574, 0.1250, 0.3324]]
}

***

Computed relative energies in units of meV per atom: arrangement P 167; arrangement Q 0; arrangement R 36

***

Arrangement P

{
  "formula": "TePtF",
  "functional": "GGA-PBE",
  "state": "optimized geometry",
  "volume_a3_per_atom": 19.4,
  "spacegroup": "Imm2, No. 44",
  "crystal_system": "orthorhombic",
  "dos_ef_per_ev_fu": 2.4,
  "lattice": [[-1.5238, 1.8163, 5.2564], [1.5238, -1.8163, 5.2564], [1.5238, 1.8163, -5.2564]],
  "species": ["Te", "Pt", "F"],
  "frac_coords": [[0.0000, 0.0000, 0.0000], [0.3329, 0.8329, 0.5000], [0.7005, 0.7005, 0.0000]]
}

***

Arrangement Q

{
  "formula": "TePtF",
  "functional": "GGA-PBE",
  "state": "optimized geometry",
  "volume_a3_per_atom": 20.1,
  "spacegroup": "C2/m, No. 12",
  "crystal_system": "monoclinic",
  "dos_ef_per_ev_fu": 0.9,
  "lattice": [[6.6902, -1.9617, 0.0000], [6.6902, 1.9617, 0.0000], [-1.0892, 0.0000, 4.5896]],
  "species": ["Te", "Te", "Pt", "Pt", "F", "F"],
  "frac_coords": [[0.1386, 0.1386, 0.4227], [0.8614, 0.8614, 0.5773], [0.2936, 0.2936, 0.8577], [0.7064, 0.7064, 0.1423], [0.4219, 0.4219, 0.2122], [0.5781, 0.5781, 0.7878]]
}

***

Arrangement R

{
  "formula": "TePtF",
  "functional": "GGA-PBE",
  "state": "optimized geometry",
  "volume_a3_per_atom": 21.8,
  "spacegroup": "P1, No. 1",
  "crystal_system": "triclinic",
  "dos_ef_per_ev_fu": 1.0,
  "lattice": [[4.3382, 0.0000, 0.0000], [-0.6304, 4.5395, 0.0000], [-1.2251, -1.3454, 6.6570]],
  "species": ["Te", "Te", "Pt", "Pt", "F", "F"],
  "frac_coords": [[0.0000, 0.0000, 0.0000], [0.1943, 0.4623, 0.4327], [0.5623, 0.2952, 0.1860], [0.8780, 0.8774, 0.3283], [0.0471, 0.5762, 0.8727], [0.7024, 0.8965, 0.6046]]
}

***

Arrangement S

{
  "formula": "TePtF",
  "functional": "GGA-PBE",
  "state": "optimized geometry",
  "volume_a3_per_atom": 20.3,
  "spacegroup": "P1, No. 1",
  "crystal_system": "triclinic",
  "dos_ef_per_ev_fu": 1.3,
  "lattice": [[3.6342, 0.0000, 0.0000], [-1.7570, 3.5415, 0.0000], [-0.0380, -0.3857, 4.7427]],
  "species": ["Te", "Pt", "F"],
  "frac_coords": [[0.0000, 0.0000, 0.0000], [0.6848, 0.3755, 0.2739], [0.2919, 0.5725, 0.5551]]
}

***

Computed relative energies in units of meV per atom: arrangement P 186; arrangement Q 0; arrangement R 92; arrangement S 170